This record from the Alexandria database describes an optimized crystal structure of Rb2SrSbF6. The functional is GGA-PBE.

Cell lengths 6.905, 6.905, 6.723 Å; angles 59.10, 59.10, 90.00 degrees
Last column: magnetic moment on the atom in μB.
Element x y z (fractional)
1 Sb 0.000 0.000 0.000  0.34
2 F 0.240 0.240 0.520  0.01
3 F 0.760 0.760 0.480  0.01
4 F 0.255 0.255 0.000  0.03
5 F 0.745 0.745 0.000  0.03
6 F 0.745 0.255 0.000  0.03
7 F 0.255 0.745 0.000  0.03
8 Rb 0.750 0.250 0.500  0.01
9 Rb 0.250 0.750 0.500  0.01
10 Sr 0.500 0.500 0.000  0.01

V = 22.04 Å³/atom
electronic total energy = -4.55 eV per atom
total magnetic moment = 1.00 μB per formula unit